Record 1
BaSrN PBE optimized geometry; ΔE to the lowest computed polymorph = 0.167 eV/atom; magnetization = 0.00 μB/f.u.; energy relative to the elements, uncorrected = -0.90 eV per formula unit
1.0
3.8544 0.0000 0.0000
-1.9272 3.3380 0.0000
0.0000 0.0000 14.8607
N Sr Ba
2 2 2
Direct
0.0000 0.0000 0.0000
0.3333 0.6667 0.5000
0.0000 0.0000 0.4011
0.0000 0.0000 0.5989
0.3333 0.6667 0.8927
0.3333 0.6667 0.1073

---

Record 2
BaSrN PBE optimized geometry; ΔE to the lowest computed polymorph = 0.001 eV/atom; magnetization = 0.00 μB/f.u.; energy relative to the elements, uncorrected = -1.40 eV per formula unit
1.0
7.3100 0.0000 0.0000
0.0000 3.9522 0.0000
0.0000 -1.9761 3.4227
Sr Ba N
1 1 1
Direct
0.1946 0.3333 0.6667
0.7987 0.6667 0.3333
0.0067 0.0000 0.0000

---

Record 3
Ba3SrN PBE optimized geometry; ΔE to the lowest computed polymorph = 1.971 eV/atom; magnetization = 0.00 μB/f.u.; energy relative to the elements, uncorrected = 8.63 eV per formula unit
1.0
6.5961 0.0000 0.0000
0.0000 6.5961 0.0000
0.0000 0.0000 6.5961
Sr Ba N
1 3 1
Direct
0.0000 0.0000 0.0000
0.0000 0.5000 0.0000
0.0000 0.0000 0.5000
0.5000 0.0000 0.0000
0.5000 0.5000 0.5000